## 1
MnCdSbI2 | PBE | optimized geometry

Results
Its space group is P4/mmm. The density of states at the Fermi level is 0.60 states/eV per atom. The volume is 33.291 Å³ per atom.

```
MnCdSbI2
1.0
5.597 0.000 0.000
0.000 5.597 0.000
0.000 0.000 5.314
Cd Mn I Sb
1 1 2 1
Direct
0.500 0.500 0.500
0.000 0.000 0.000
0.500 0.000 0.000
0.000 0.500 0.000
0.000 0.000 0.500
```

=====

## 2
MnCdSbI2 | PBE | optimized geometry

Results
Its space group is P4/mmm. The density of states at the Fermi level is 0.35 states/eV per atom. The volume is 39.652 Å³ per atom.

```
MnCdSbI2
1.0
-5.708 -0.557 -1.276
1.121 -5.030 -2.822
-0.807 -2.918 4.881
I Cd Sb Mn
2 1 1 1
Direct
0.000 0.500 0.000
0.500 0.000 0.000
0.000 0.000 0.000
0.000 0.000 0.500
0.500 0.500 0.500
```

=====

It is 1 that is the most stable of them.